# 1
A plane-wave DFT calculation with PBE was carried out for a relaxed structure of Ca2PrPuS4.

Cell lengths 6.975, 4.030, 7.043 Å; angles 90.00, 109.38, 90.00 degrees
Space group P2/m (No. 10)
One atom of each set of equivalent atoms:
Ca (0.000, 0.000, 0.000) (multiplicity 1)
Ca (0.500, 0.500, 0.000) (multiplicity 1)
Pr (0.000, 0.500, 0.500) (multiplicity 1)
Pu (0.500, 0.000, 0.500) (multiplicity 1)
S (0.255, 0.500, 0.249) (multiplicity 2)
S (0.256, 0.000, 0.756) (multiplicity 2)

Computed properties:
**Uncorrected formation energy**: -1969.6 meV per atom
**Crystal system**: monoclinic

***

# 2
A plane-wave DFT calculation with PBE was carried out for a relaxed structure of SiIrPt2S.

Cell lengths 4.548, 4.548, 4.408 Å; angles 90.00, 90.00, 90.00 degrees
Space group P4/mmm (No. 123)
One atom of each set of equivalent atoms:
Si (0.000, 0.000, 0.000) (multiplicity 1)
Ir (0.500, 0.500, 0.000) (multiplicity 1)
Pt (0.000, 0.500, 0.500) (multiplicity 2)
S (0.500, 0.500, 0.500) (multiplicity 1)

Computed properties:
**Uncorrected formation energy**: 703.7 meV per atom
**Crystal system**: tetragonal

***

# 3
A plane-wave DFT calculation with PBE was carried out for a relaxed structure of AcNdTm.

Cell lengths 3.765, 3.765, 15.470 Å; angles 90.00, 90.00, 90.00 degrees
Space group I4mm (No. 107)
One atom of each set of equivalent atoms:
Ac (0.000, 0.000, 0.000) (multiplicity 2)
Nd (0.000, 0.000, 0.676) (multiplicity 2)
Tm (0.000, 0.000, 0.331) (multiplicity 2)

Computed properties:
**Energy of formation from the pure elements**: 0.058 eV per atom
**Energy above the most stable polymorph in this dataset**: 5 meV/atom
**Crystal system**: tetragonal

***

# 4
A plane-wave DFT calculation with PBE was carried out for a relaxed structure of AcMgSiPt6.

Cell lengths 6.991, 9.155, 11.375 Å; angles 90.00, 90.00, 90.00 degrees
Space group Imma (No. 74)
One atom of each set of equivalent atoms:
Ac (0.000, 0.250, 0.168) (multiplicity 4)
Mg (0.250, 0.250, 0.750) (multiplicity 4)
Si (0.000, 0.000, 0.500) (multiplicity 4)
Pt (0.000, 0.250, 0.429) (multiplicity 4)
Pt (0.000, 0.250, 0.909) (multiplicity 4)
Pt (0.234, 0.013, 0.877) (multiplicity 16)

Computed properties:
**Uncorrected formation energy**: -521.5 meV per atom
**Crystal system**: orthorhombic

***

# 5
A plane-wave DFT calculation with PBE was carried out for a relaxed structure of Mo3Cl.

Cell lengths 4.179, 5.345, 8.276 Å; angles 90.00, 90.00, 90.00 degrees
Space group Pmmn (No. 59, origin choice 2)
One atom of each set of equivalent atoms:
Mo (0.250, 0.012, 0.101) (multiplicity 4)
Mo (0.250, 0.250, 0.807) (multiplicity 2)
Cl (0.250, 0.750, 0.384) (multiplicity 2)

Computed properties:
**Energy above the most stable polymorph in this dataset**: 268 meV/atom
**Uncorrected formation energy**: 520.7 meV per atom
**Crystal system**: orthorhombic

***

# 6
A plane-wave DFT calculation with PBE was carried out for a relaxed structure of HfCd.

Cell lengths 7.751, 8.622, 11.019 Å; angles 90.00, 90.00, 90.00 degrees
Space group Fddd (No. 70, origin choice 2)
One atom of each set of equivalent atoms:
Hf (0.125, 0.301, 0.125) (multiplicity 16)
Cd (0.049, 0.375, 0.875) (multiplicity 16)

Computed properties:
**Energy of formation from the pure elements**: 0.369 eV per atom
**Crystal system**: orthorhombic